<w>
First-principles (PBE) data for a geometry-optimized Al4Co structure, as listed in Alexandria via LeMat-Bulk.

Properties
calculated density	3.211	Mg/m³

```
Al4Co
1.0
5.567 0.000 0.000
0.000 5.567 0.000
0.000 0.000 5.567
Al Co
8 2
direct
0.250 0.250 0.250
0.250 0.250 0.750
0.250 0.750 0.250
0.250 0.750 0.750
0.750 0.250 0.250
0.750 0.250 0.750
0.750 0.750 0.250
0.750 0.750 0.750
0.000 0.000 0.000
0.500 0.500 0.500
```

<x>
First-principles (PBE) data for a geometry-optimized Al4Co structure, as listed in Alexandria via LeMat-Bulk.

Properties
calculated density	3.667	Mg/m³

```
Al4Co
1.0
4.916 0.000 0.000
0.000 4.916 0.000
0.000 0.000 6.254
Al Co
8 2
direct
0.133 0.248 0.334
0.248 0.867 0.666
0.252 0.367 0.834
0.367 0.748 0.166
0.633 0.252 0.166
0.748 0.633 0.834
0.752 0.133 0.666
0.867 0.752 0.334
0.000 0.000 0.000
0.500 0.500 0.500
```

Relative stability in eV/atom, measured from the most stable structure: <w> 0.129; <x> 0.000

<w>
First-principles (PBE) data for a geometry-optimized Al4Co structure, as listed in Alexandria via LeMat-Bulk.

Properties
calculated density	3.618	Mg/m³

```
Al4Co
1.0
4.045 0.000 0.000
0.000 8.971 0.000
0.000 0.000 4.221
Al Co
8 2
direct
0.000 0.142 0.000
0.000 0.353 0.500
0.000 0.647 0.500
0.000 0.858 0.000
0.500 0.147 0.500
0.500 0.358 0.000
0.500 0.642 0.000
0.500 0.853 0.500
0.000 0.000 0.500
0.500 0.500 0.500
```

<x>
First-principles (PBE) data for a geometry-optimized Al4Co structure, as listed in Alexandria via LeMat-Bulk.

Properties
calculated density	3.306	Mg/m³

```
Al4Co
1.0
3.537 0.000 0.000
0.000 3.537 0.000
0.000 0.000 13.395
Al Co
8 2
direct
0.000 0.000 0.094
0.000 0.000 0.906
0.000 0.500 0.250
0.000 0.500 0.750
0.500 0.000 0.250
0.500 0.000 0.750
0.500 0.500 0.406
0.500 0.500 0.594
0.000 0.000 0.500
0.500 0.500 0.000
```

Relative stability in eV/atom, measured from the most stable structure: <w> 0.000; <x> 0.649

<w>
First-principles (PBE) data for a geometry-optimized Al4Co structure, as listed in Alexandria via LeMat-Bulk.

Properties
calculated density	3.035	Mg/m³

```
Al4Co
1.0
4.503 0.000 0.000
0.000 4.503 0.000
0.000 0.000 4.503
Al Co
4 1
direct
0.000 0.000 0.000
0.000 0.500 0.500
0.500 0.000 0.500
0.500 0.500 0.000
0.500 0.500 0.500
```

<x>
First-principles (PBE) data for a geometry-optimized Al4Co structure, as listed in Alexandria via LeMat-Bulk.

Properties
calculated density	3.892	Mg/m³

```
Al4Co
1.0
6.127 0.000 0.000
0.000 6.127 0.000
0.000 0.000 3.793
Al Co
8 2
direct
0.105 0.295 0.000
0.205 0.605 0.500
0.295 0.895 0.000
0.395 0.205 0.500
0.605 0.795 0.500
0.705 0.105 0.000
0.795 0.395 0.500
0.895 0.705 0.000
0.000 0.000 0.500
0.500 0.500 0.000
```

Relative stability in eV/atom, measured from the most stable structure: <w> 0.228; <x> 0.000

<w>
First-principles (PBE) data for a geometry-optimized AlCo4 structure, as listed in Alexandria via LeMat-Bulk.

Properties
calculated density	6.940	Mg/m³

```
AlCo4
1.0
3.383 0.000 0.000
0.000 3.383 0.000
0.000 0.000 10.984
Al Co
2 8
direct
0.000 0.000 0.000
0.500 0.500 0.500
0.000 0.000 0.399
0.000 0.000 0.601
0.000 0.500 0.250
0.000 0.500 0.750
0.500 0.000 0.250
0.500 0.000 0.750
0.500 0.500 0.101
0.500 0.500 0.899
```

<x>
First-principles (PBE) data for a geometry-optimized AlCo4 structure, as listed in Alexandria via LeMat-Bulk.

Properties
calculated density	7.620	Mg/m³

```
AlCo4
1.0
2.564 0.000 0.000
-1.282 2.221 0.000
0.000 0.000 30.163
Al Co
3 12
direct
0.000 0.000 0.000
0.333 0.667 0.667
0.667 0.333 0.333
0.000 0.000 0.200
0.000 0.000 0.401
0.000 0.000 0.599
0.000 0.000 0.800
0.333 0.667 0.068
0.333 0.667 0.265
0.333 0.667 0.466
0.333 0.667 0.867
0.667 0.333 0.133
0.667 0.333 0.534
0.667 0.333 0.735
0.667 0.333 0.932
```

<y>
First-principles (PBE) data for a geometry-optimized AlCo4 structure, as listed in Alexandria via LeMat-Bulk.

Properties
calculated density	5.938	Mg/m³

```
AlCo4
1.0
4.188 0.000 0.000
0.000 4.188 0.000
0.000 0.000 4.188
Al Co
1 4
direct
0.000 0.000 0.000
0.000 0.000 0.500
0.000 0.500 0.000
0.500 0.000 0.000
0.500 0.500 0.500
```

Relative stability in eV/atom, measured from the most stable structure: <w> 0.225; <x> 0.000; <y> 1.235

<w>
First-principles (PBE) data for a geometry-optimized AlCo4 structure, as listed in Alexandria via LeMat-Bulk.

Properties
calculated density	7.299	Mg/m³

```
AlCo4
1.0
2.557 0.000 0.000
-1.278 2.214 0.000
0.000 0.000 10.556
Al Co
1 4
direct
0.000 0.000 0.000
0.333 0.667 0.192
0.333 0.667 0.408
0.667 0.333 0.592
0.667 0.333 0.808
```

<x>
First-principles (PBE) data for a geometry-optimized AlCo4 structure, as listed in Alexandria via LeMat-Bulk.

Properties
calculated density	5.997	Mg/m³

```
AlCo4
1.0
5.259 0.000 0.000
0.000 5.259 0.000
0.000 0.000 5.259
Al Co
2 8
direct
0.000 0.000 0.000
0.500 0.500 0.500
0.250 0.250 0.250
0.250 0.250 0.750
0.250 0.750 0.250
0.250 0.750 0.750
0.750 0.250 0.250
0.750 0.250 0.750
0.750 0.750 0.250
0.750 0.750 0.750
```

<y>
First-principles (PBE) data for a geometry-optimized AlCo4 structure, as listed in Alexandria via LeMat-Bulk.

Properties
calculated density	7.725	Mg/m³

```
AlCo4
1.0
5.634 0.000 0.000
0.000 5.634 0.000
0.000 0.000 3.559
Al Co
2 8
direct
0.000 0.000 0.000
0.500 0.500 0.500
0.095 0.696 0.500
0.196 0.405 0.000
0.304 0.095 0.500
0.405 0.804 0.000
0.595 0.196 0.000
0.696 0.905 0.500
0.804 0.595 0.000
0.905 0.304 0.500
```

Relative stability in eV/atom, measured from the most stable structure: <w> 0.367; <x> 1.013; <y> 0.000

<w>
First-principles (PBE) data for a geometry-optimized Al4Co5 structure, as listed in Alexandria via LeMat-Bulk.

Properties
calculated density	6.209	Mg/m³

```
Al4Co5
1.0
7.107 0.000 0.000
-3.553 6.155 0.000
0.000 0.000 4.923
Al Co
8 10
direct
0.000 0.000 0.000
0.000 0.000 0.500
0.000 0.376 0.250
0.000 0.624 0.750
0.376 0.000 0.250
0.376 0.376 0.750
0.624 0.000 0.750
0.624 0.624 0.250
0.000 0.294 0.750
0.000 0.706 0.250
0.294 0.000 0.750
0.294 0.294 0.250
0.333 0.667 0.000
0.333 0.667 0.500
0.667 0.333 0.000
0.667 0.333 0.500
0.706 0.000 0.250
0.706 0.706 0.750
```

<x>
First-principles (PBE) data for a geometry-optimized Al4Co5 structure, as listed in Alexandria via LeMat-Bulk.

Properties
calculated density	6.090	Mg/m³

```
Al4Co5
1.0
-3.838 3.838 1.863
3.838 -3.838 1.863
3.838 3.838 -1.863
Al Co
4 5
direct
0.000 0.304 0.304
0.000 0.696 0.696
0.304 0.000 0.304
0.696 0.000 0.696
0.000 0.000 0.000
0.335 0.335 0.669
0.335 0.665 0.000
0.665 0.335 0.000
0.665 0.665 0.331
```

Relative stability in eV/atom, measured from the most stable structure: <w> 0.000; <x> 0.042

<w>
First-principles (PBE) data for a geometry-optimized AlCo5 structure, as listed in Alexandria via LeMat-Bulk.

Properties
calculated density	7.150	Mg/m³

```
AlCo5
1.0
4.584 0.000 0.000
-2.292 3.970 0.000
0.000 0.000 4.106
Al Co
1 5
direct
0.000 0.000 0.000
0.000 0.500 0.500
0.333 0.667 0.000
0.500 0.000 0.500
0.500 0.500 0.500
0.667 0.333 0.000
```

<x>
First-principles (PBE) data for a geometry-optimized AlCo5 structure, as listed in Alexandria via LeMat-Bulk.

Properties
calculated density	7.936	Mg/m³

```
AlCo5
1.0
2.614 0.000 0.000
0.000 2.614 0.000
0.000 0.000 9.848
Al Co
1 5
direct
0.000 0.000 0.000
0.000 0.000 0.332
0.000 0.000 0.668
0.500 0.500 0.171
0.500 0.500 0.500
0.500 0.500 0.829
```

<y>
First-principles (PBE) data for a geometry-optimized AlCo5 structure, as listed in Alexandria via LeMat-Bulk.

Properties
calculated density	7.919	Mg/m³

```
AlCo5
1.0
4.054 0.000 0.000
0.000 2.587 0.000
0.000 0.000 12.862
Al Co
2 10
direct
0.000 0.000 0.000
0.000 0.500 0.500
0.000 0.000 0.327
0.000 0.000 0.668
0.000 0.500 0.168
0.000 0.500 0.827
0.500 0.000 0.215
0.500 0.000 0.551
0.500 0.000 0.880
0.500 0.500 0.051
0.500 0.500 0.380
0.500 0.500 0.715
```

<z>
First-principles (PBE) data for a geometry-optimized AlCo5 structure, as listed in Alexandria via LeMat-Bulk.

Properties
calculated density	7.934	Mg/m³

```
AlCo5
1.0
4.360 0.000 0.000
-2.180 3.776 0.000
0.000 0.000 4.089
Al Co
1 5
direct
0.000 0.000 0.000
0.000 0.662 0.500
0.333 0.667 0.000
0.338 0.338 0.500
0.662 0.000 0.500
0.667 0.333 0.000
```

Relative stability in eV/atom, measured from the most stable structure: <w> 0.250; <x> 0.025; <y> 0.015; <z> 0.000

<w>
First-principles (PBE) data for a geometry-optimized Al5Co4 structure, as listed in Alexandria via LeMat-Bulk.

Properties
calculated density	5.483	Mg/m³

```
Al5Co4
1.0
7.153 0.000 0.000
-3.576 6.194 0.000
0.000 0.000 5.067
Al Co
10 8
direct
0.000 0.289 0.250
0.000 0.711 0.750
0.289 0.000 0.250
0.289 0.289 0.750
0.333 0.667 0.000
0.333 0.667 0.500
0.667 0.333 0.000
0.667 0.333 0.500
0.711 0.000 0.750
0.711 0.711 0.250
0.000 0.000 0.000
0.000 0.000 0.500
0.000 0.378 0.750
0.000 0.622 0.250
0.378 0.000 0.750
0.378 0.378 0.250
0.622 0.000 0.250
0.622 0.622 0.750
```

<x>
First-principles (PBE) data for a geometry-optimized Al5Co4 structure, as listed in Alexandria via LeMat-Bulk.

Properties
calculated density	5.494	Mg/m³

```
Al5Co4
1.0
-3.828 3.828 1.911
3.828 -3.828 1.911
3.828 3.828 -1.911
Al Co
5 4
direct
0.000 0.000 0.000
0.326 0.326 0.653
0.326 0.674 0.000
0.674 0.326 0.000
0.674 0.674 0.347
0.000 0.335 0.335
0.000 0.665 0.665
0.335 0.000 0.335
0.665 0.000 0.665
```

Relative stability in eV/atom, measured from the most stable structure: <w> 0.000; <x> 0.140

<w>
First-principles (PBE) data for a geometry-optimized AlCr3Co structure, as listed in Alexandria via LeMat-Bulk.

Properties
calculated density	5.211	Mg/m³

```
AlCr3Co
1.0
4.256 0.000 0.000
0.000 4.256 0.000
0.000 0.000 4.256
Al Cr Co
1 3 1
direct
0.000 0.000 0.000
0.000 0.500 0.500
0.500 0.000 0.500
0.500 0.500 0.000
0.500 0.500 0.500
```

<x>
First-principles (PBE) data for a geometry-optimized AlCr3Co structure, as listed in Alexandria via LeMat-Bulk.

Properties
calculated density	5.298	Mg/m³

```
AlCr3Co
1.0
4.232 0.000 0.000
0.000 4.232 0.000
0.000 0.000 4.232
Al Cr Co
1 3 1
direct
0.000 0.000 0.000
0.000 0.000 0.500
0.000 0.500 0.000
0.500 0.000 0.000
0.500 0.500 0.500
```

Relative stability in eV/atom, measured from the most stable structure: <w> 0.000; <x> 0.874

<w>
First-principles (PBE) data for a geometry-optimized Al2CrCo2 structure, as listed in Alexandria via LeMat-Bulk.

Properties
calculated density	5.966	Mg/m³

```
Al2CrCo2
1.0
6.867 0.000 0.000
0.000 6.867 0.000
0.000 0.000 2.642
Al Cr Co
4 2 4
direct
0.136 0.364 0.000
0.364 0.864 0.000
0.636 0.136 0.000
0.864 0.636 0.000
0.000 0.000 0.000
0.500 0.500 0.000
0.163 0.663 0.500
0.337 0.163 0.500
0.663 0.837 0.500
0.837 0.337 0.500
```

<x>
First-principles (PBE) data for a geometry-optimized Al2CrCo2 structure, as listed in Alexandria via LeMat-Bulk.

Properties
calculated density	6.044	Mg/m³

```
Al2CrCo2
1.0
6.780 0.000 0.000
0.000 6.780 0.000
0.000 0.000 2.676
Al Cr Co
4 2 4
direct
0.164 0.336 0.000
0.336 0.836 0.000
0.664 0.164 0.000
0.836 0.664 0.000
0.000 0.000 0.500
0.500 0.500 0.500
0.133 0.633 0.500
0.367 0.133 0.500
0.633 0.867 0.500
0.867 0.367 0.500
```

Relative stability in eV/atom, measured from the most stable structure: <w> 0.000; <x> 0.063